(1)
An optimized crystal structure of CaZr2As. Source: the Alexandria database, functional PBE.

It has space group Cmmm (No. 65), with a = 4.0732 Å, b = 5.3220 Å, c = 9.2356 Å, α = 90.00°, β = 90.00° and γ = 90.00°. The asymmetric unit holds Ca at (0.0000, 0.0000, 0.0000), Zr at (0.0000, 0.5000, 0.3125) and As at (0.0000, 0.0000, 0.5000).

The calculation puts the total DFT energy (no corrections) at -6.176 eV per atom. Its crystal system is orthorhombic. The formation energy comes out at -0.239 eV per atom.

(2)
An optimized crystal structure of CaZr2As. Source: the Alexandria database, functional PBE.

It has space group C2/m (No. 12), with a = 12.7870 Å, b = 3.5263 Å, c = 10.5571 Å, α = 90.00°, β = 127.04° and γ = 90.00°. The asymmetric unit holds Ca at (0.1021, 0.0000, 0.4589), Zr at (0.1206, 0.0000, 0.9213), Zr at (0.1327, 0.5000, 0.1682) and As at (0.1590, 0.5000, 0.7438).

The calculation puts the total DFT energy (no corrections) at -6.461 eV per atom. Its crystal system is monoclinic. The formation energy comes out at -0.524 eV per atom.

(3)
An optimized crystal structure of CaZr2As. Source: the Alexandria database, functional PBE.

It has space group Cm (No. 8), with a = 10.9144 Å, b = 3.5458 Å, c = 6.1093 Å, α = 90.00°, β = 123.04° and γ = 90.00°. The asymmetric unit holds Ca at (0.0000, 0.0000, 0.0000), Zr at (0.1778, 0.0000, 0.6364), Zr at (0.3872, 0.0000, 0.4014) and As at (0.2258, 0.5000, 0.0031).

The calculation puts the total DFT energy (no corrections) at -6.247 eV per atom. Its crystal system is monoclinic. The formation energy comes out at -0.310 eV per atom.

(4)
An optimized crystal structure of Ca2ZrAs. Source: the Alexandria database, functional PBE.

It has space group R-3m (No. 166, hexagonal axes), with a = 3.4977 Å, b = 3.4977 Å, c = 30.7590 Å, α = 90.00°, β = 90.00° and γ = 120.00°. The asymmetric unit holds Ca at (0.0000, 0.0000, 0.2377), Zr at (0.0000, 0.0000, 0.0000) and As at (0.0000, 0.0000, 0.5000).

The calculation puts the total DFT energy (no corrections) at -4.393 eV per atom. Its crystal system is trigonal. The formation energy comes out at -0.092 eV per atom.